1.
Compound: FeSn2Pb
Source: the Alexandria database
Functional: PBE
Structure: optimized geometry

a = 3.358 Å, b = 3.358 Å, c = 10.234 Å
α = 80.56°, β = 80.56°, γ = 60.00°
Site moments in Bohr magnetons follow the coordinates.
Atoms (fractional coordinates):
Sn 0.105 0.105 0.684  -0.06
Pb 0.000 0.000 0.000  -0.01
Sn 0.895 0.895 0.316  -0.06
Fe 0.500 0.500 0.500  2.12

Values from the calculation:
* theoretical density: 8.5 Mg/m³
* DFT total energy: -4.844 eV per atom
* volume: 98.1 Å³/f.u.
* space-group type: R-3m, No. 166


2.
Compound: LaPrNdHg
Source: the Alexandria database
Functional: PBE
Structure: optimized geometry

a = 3.812 Å, b = 3.812 Å, c = 8.856 Å
α = 90.00°, β = 90.00°, γ = 90.00°
Atoms (fractional coordinates):
Nd 0.500 0.500 0.353
Hg 0.000 0.000 0.568
La 0.000 0.000 0.073
Pr 0.500 0.500 0.791

Values from the calculation:
* theoretical density: 8.1 Mg/m³
* E above lowest polymorph: 0 meV per atom
* DFT total energy: -3.930 eV per atom
* volume: 128.7 Å³/f.u.
* space-group type: P4mm, No. 99


3.
Compound: Zr7Ga5Sn
Source: the Alexandria database
Functional: PBE
Structure: optimized geometry

a = 5.544 Å, b = 7.471 Å, c = 7.471 Å
α = 84.84°, β = 68.22°, γ = 68.22°
Atoms (fractional coordinates):
Zr 0.529 0.134 0.808
Zr 0.015 0.649 0.321
Ga 0.019 0.476 0.990
Sn 0.940 0.060 0.060
Ga 0.515 0.476 0.990
Ga 0.019 0.990 0.476
Zr 0.015 0.321 0.649
Zr 0.251 0.749 0.749
Zr 0.606 0.394 0.394
Ga 0.773 0.727 0.727
Zr 0.529 0.808 0.134
Ga 0.515 0.990 0.476
Zr 0.275 0.225 0.225

Values from the calculation:
* theoretical density: 6.9 Mg/m³
* DFT total energy: -6.459 eV per atom
* volume: 266.4 Å³/f.u.
* space-group type: Imm2, No. 44


4.
Compound: Mg2Pd3Pt
Source: the Alexandria database
Functional: PBE
Structure: optimized geometry

a = 5.507 Å, b = 5.501 Å, c = 7.706 Å
α = 110.91°, β = 110.93°, γ = 90.00°
Atoms (fractional coordinates):
Pd 0.089 0.842 0.684
Pd 0.500 0.750 0.000
Pt 0.000 0.250 0.000
Pd 0.595 0.342 0.684
Pt 0.000 0.750 0.000
Mg 0.894 0.647 0.293
Mg 0.601 0.853 0.707
Pd 0.500 0.250 0.000
Pd 0.911 0.158 0.316
Mg 0.106 0.353 0.707
Mg 0.399 0.147 0.293
Pd 0.405 0.658 0.316

Values from the calculation:
* theoretical density: 9.3 Mg/m³
* E above lowest polymorph: 151 meV per atom
* DFT total energy: -4.580 eV per atom
* volume: 100.7 Å³/f.u.
* space-group type: Ibam, No. 72